No. 1
This record from Alexandria describes a geometry-optimized Pu2Th3UAs6 structure. The functional is PBE.

Summary:
The calculation puts the density of states at the Fermi level at 27.78 states/eV per cell. The calculation puts the magnetic moment at 13.4 μB/f.u. The formation energy is -14.2 eV/f.u.

abc: 4.197 8.391 9.379
angles: 102.78 102.93 90.00
Site moments in Bohr magnetons follow the coordinates.
Positions (direct):
1 As 0.999 0.757 0.999  -0.04
2 Th 0.500 0.500 0.000  0.04
3 As 0.337 0.915 0.674  -0.05
4 U 0.500 0.000 0.000  2.25
5 As 0.663 0.085 0.326  -0.05
6 As 0.001 0.243 0.001  -0.04
7 As 0.669 0.578 0.337  -0.06
8 Th 0.168 0.831 0.336  0.04
9 Pu 0.834 0.668 0.668  5.20
10 Th 0.832 0.169 0.664  0.04
11 Pu 0.166 0.332 0.332  5.20
12 As 0.331 0.422 0.663  -0.06



No. 2
This record from Alexandria describes a geometry-optimized Y3PuTh2As6 structure. The functional is PBE.

Summary:
The calculation puts the density of states at the Fermi level at 14.80 states/eV per cell. The calculation puts the magnetic moment at 5.5 μB/f.u. The formation energy is -17.2 eV/f.u.

abc: 4.187 8.334 9.334
angles: 102.75 102.96 90.00
Site moments in Bohr magnetons follow the coordinates.
Positions (direct):
1 Y 0.167 0.834 0.333  -0.02
2 Y 0.500 0.500 0.000  -0.01
3 As 0.334 0.413 0.668  0.00
4 Y 0.833 0.166 0.667  -0.02
5 As 0.002 0.751 0.004  0.05
6 Th 0.165 0.330 0.329  -0.03
7 As 0.667 0.078 0.335  0.02
8 As 0.333 0.922 0.665  0.02
9 Pu 0.500 0.000 0.000  -5.20
10 As 0.666 0.587 0.332  0.00
11 As 0.998 0.249 0.996  0.05
12 Th 0.835 0.670 0.671  -0.03



No. 3
This record from Alexandria describes a geometry-optimized YPuTh2As4 structure. The functional is PBE.

Summary:
The calculation puts the density of states at the Fermi level at 26.22 states/eV per cell. The calculation puts the magnetic moment at 5.6 μB/f.u. The formation energy is -10.9 eV/f.u.

abc: 8.403 8.403 8.399
angles: 119.98 119.98 89.99
Site moments in Bohr magnetons follow the coordinates.
Positions (direct):
1 Th 0.500 0.000 0.500  0.05
2 Th 0.500 0.500 0.000  0.05
3 As 0.752 0.748 0.996  -0.04
4 As 0.753 0.256 0.504  -0.02
5 Y 0.000 0.500 0.500  0.03
6 As 0.248 0.252 0.496  -0.04
7 As 0.756 0.253 0.004  -0.02
8 As 0.248 0.252 0.004  -0.04
9 Th 0.000 0.000 0.500  0.05
10 Y 0.000 0.500 0.000  0.03
11 Pu 0.500 0.500 0.500  5.22
12 As 0.244 0.747 0.996  -0.02
13 Th 0.500 0.000 0.000  0.05
14 As 0.247 0.744 0.496  -0.02
15 As 0.752 0.748 0.504  -0.04
16 Pu 0.000 0.000 0.000  5.22



No. 4
This record from Alexandria describes a geometry-optimized PuTh2ZrAs4 structure. The functional is PBE.

Summary:
The calculation puts the density of states at the Fermi level at 11.85 states/eV per cell. The calculation puts the magnetic moment at 5.5 μB/f.u. The formation energy is -9.9 eV/f.u.

abc: 4.143 7.128 7.157
angles: 70.51 90.00 90.00
Site moments in Bohr magnetons follow the coordinates.
Positions (direct):
1 Th 0.000 0.000 0.000  0.02
2 As 0.000 0.268 0.238  -0.02
3 As 0.500 0.264 0.752  -0.04
4 Pu 0.000 0.500 0.500  5.16
5 Th 0.500 0.000 0.500  0.03
6 Zr 0.500 0.500 0.000  0.03
7 As 0.000 0.732 0.762  -0.02
8 As 0.500 0.736 0.248  -0.04



No. 5
This record from Alexandria describes a geometry-optimized PuTiAs3 structure. The functional is PBE.

Summary:
The calculation puts the density of states at the Fermi level at 48.41 states/eV per cell. The calculation puts the magnetic moment at 5.2 μB/f.u. The formation energy is -3.8 eV/f.u.

abc: 5.799 5.657 12.294
angles: 90.00 90.00 90.00
Site moments in Bohr magnetons follow the coordinates.
Positions (direct):
1 As 0.250 0.010 0.230  -0.06
2 As 0.000 0.750 0.503  -0.06
3 As 0.750 0.379 0.922  -0.01
4 Pu 0.750 0.988 0.318  5.04
5 Ti 0.000 0.750 0.914  0.11
6 As 0.750 0.990 0.770  -0.06
7 Pu 0.750 0.488 0.682  5.04
8 As 0.000 0.250 0.497  -0.06
9 As 0.750 0.490 0.230  -0.06
10 As 0.500 0.250 0.497  -0.06
11 As 0.250 0.621 0.078  -0.01
12 Ti 0.500 0.750 0.914  0.11
13 Pu 0.250 0.012 0.682  5.04
14 As 0.500 0.750 0.503  -0.06
15 Pu 0.250 0.512 0.318  5.04
16 As 0.250 0.510 0.770  -0.06
17 Ti 0.000 0.250 0.086  0.11
18 As 0.250 0.121 0.922  -0.01
19 Ti 0.500 0.250 0.086  0.11
20 As 0.750 0.879 0.078  -0.01



No. 6
This record from Alexandria describes a geometry-optimized PuTi2As2 structure. The functional is PBE.

Summary:
The calculation puts the density of states at the Fermi level at 26.09 states/eV per cell. The calculation puts the magnetic moment at 6.2 μB/f.u. The formation energy is -3.1 eV/f.u.

abc: 6.726 6.726 6.521
angles: 114.91 114.91 100.24
Site moments in Bohr magnetons follow the coordinates.
Positions (direct):
1 As 0.157 0.343 0.750  -0.04
2 Ti 0.242 0.990 0.484  0.18
3 Pu 0.125 0.375 0.250  5.43
4 As 0.594 0.906 0.750  -0.04
5 Pu 0.875 0.625 0.750  5.43
6 As 0.843 0.657 0.250  -0.04
7 Ti 0.758 0.010 0.516  0.18
8 Ti 0.510 0.258 0.016  0.18
9 Ti 0.490 0.742 0.984  0.18
10 As 0.406 0.094 0.250  -0.04



No. 7
This record from Alexandria describes a geometry-optimized Tm3PuAs4 structure. The functional is PBE.

Summary:
The calculation puts the density of states at the Fermi level at 14.48 states/eV per cell. The calculation puts the magnetic moment at 4.9 μB/f.u. The formation energy is -11.0 eV/f.u.

abc: 5.767 5.767 5.767
angles: 90.00 90.00 90.00
Site moments in Bohr magnetons follow the coordinates.
Positions (direct):
1 Tm 0.000 0.500 0.500  0.01
2 As 0.500 0.500 0.500  0.01
3 Pu 0.000 0.000 0.000  4.94
4 As 0.500 0.000 0.000  -0.07
5 Tm 0.500 0.000 0.500  0.01
6 As 0.000 0.500 0.000  -0.07
7 Tm 0.500 0.500 0.000  0.01
8 As 0.000 0.000 0.500  -0.07



No. 8
This record from Alexandria describes a geometry-optimized Tm4PuAs5 structure. The functional is PBE.

Summary:
The calculation puts the density of states at the Fermi level at 13.29 states/eV per cell. The calculation puts the magnetic moment at 4.9 μB/f.u. The formation energy is -14.0 eV/f.u.

abc: 4.085 7.050 9.117
angles: 75.04 77.05 73.16
Site moments in Bohr magnetons follow the coordinates.
Positions (direct):
1 Tm 0.200 0.397 0.203  -0.01
2 Tm 0.800 0.603 0.797  -0.01
3 As 0.000 0.500 0.500  -0.01
4 As 0.799 0.099 0.302  -0.04
5 As 0.201 0.901 0.698  -0.04
6 Pu 0.000 0.000 0.000  5.00
7 As 0.601 0.698 0.100  -0.07
8 Tm 0.600 0.202 0.599  0.00
9 Tm 0.400 0.798 0.401  0.00
10 As 0.399 0.302 0.900  -0.07



What did the first record say?
This record from Alexandria describes a geometry-optimized Pu2Th3UAs6 structure. The functional is PBE.

Summary:
The calculation puts the density of states at the Fermi level at 27.78 states/eV per cell. The calculation puts the magnetic moment at 13.4 μB/f.u. The formation energy is -14.2 eV/f.u.

abc: 4.197 8.391 9.379
angles: 102.78 102.93 90.00
Site moments in Bohr magnetons follow the coordinates.
Positions (direct):
1 As 0.999 0.757 0.999  -0.04
2 Th 0.500 0.500 0.000  0.04
3 As 0.337 0.915 0.674  -0.05
4 U 0.500 0.000 0.000  2.25
5 As 0.663 0.085 0.326  -0.05
6 As 0.001 0.243 0.001  -0.04
7 As 0.669 0.578 0.337  -0.06
8 Th 0.168 0.831 0.336  0.04
9 Pu 0.834 0.668 0.668  5.20
10 Th 0.832 0.169 0.664  0.04
11 Pu 0.166 0.332 0.332  5.20
12 As 0.331 0.422 0.663  -0.06



Question: The lowest density of states at the Fermi level belongs to which entry?
Answer: PuTh2ZrAs4



Repeat the eighth record exactly.
This record from Alexandria describes a geometry-optimized Tm4PuAs5 structure. The functional is PBE.

Summary:
The calculation puts the density of states at the Fermi level at 13.29 states/eV per cell. The calculation puts the magnetic moment at 4.9 μB/f.u. The formation energy is -14.0 eV/f.u.

abc: 4.085 7.050 9.117
angles: 75.04 77.05 73.16
Site moments in Bohr magnetons follow the coordinates.
Positions (direct):
1 Tm 0.200 0.397 0.203  -0.01
2 Tm 0.800 0.603 0.797  -0.01
3 As 0.000 0.500 0.500  -0.01
4 As 0.799 0.099 0.302  -0.04
5 As 0.201 0.901 0.698  -0.04
6 Pu 0.000 0.000 0.000  5.00
7 As 0.601 0.698 0.100  -0.07
8 Tm 0.600 0.202 0.599  0.00
9 Tm 0.400 0.798 0.401  0.00
10 As 0.399 0.302 0.900  -0.07